# CaZr2Hg | Alexandria via LeMat-Bulk | PBEsol | optimized geometry
# **Energy relative to the elements**: 0.127 eV/atom
# **Magnetization**: 0.01 μB per cell
# **Raw total energy**: -5.09 eV per atom
# **Volume**: 96.0 Å³/cell
data_CaZr2Hg
_symmetry_space_group_name_H-M 'P 4/m m m'
_symmetry_Int_Tables_number 123
_symmetry_space_group_name_Hall '-P 4 2'
_cell_length_a 3.1459
_cell_length_b 3.1459
_cell_length_c 9.7018
_cell_angle_alpha 90.00
_cell_angle_beta 90.00
_cell_angle_gamma 90.00
loop_
_atom_site_label
_atom_site_fract_x
_atom_site_fract_y
_atom_site_fract_z
Ca1 0.0000 0.0000 0.0000
Zr1 0.5000 0.5000 0.2872
Hg1 0.0000 0.0000 0.5000